Arrangement A

Entry from Alexandria via LeMat-Bulk: KCdSe after structural relaxation (PBE).

Calculated values
Calculated density: 3.80 g cm⁻³

a b c (Å): 4.9181 4.9181 4.8048
angles (deg): 90.00 90.00 120.00
Fractional positions:
K1 0.0000 0.0000 0.0000
Cd1 0.3333 0.6667 0.5000
Se1 0.6667 0.3333 0.5000

=====

Arrangement B

Entry from Alexandria via LeMat-Bulk: KCdSe after structural relaxation (PBE).

Calculated values
Calculated density: 3.78 g cm⁻³

a b c (Å): 7.3956 7.3956 7.3956
angles (deg): 90.00 90.00 90.00
Fractional positions:
K1 0.0000 0.0000 0.0000
K2 0.0000 0.5000 0.5000
K3 0.5000 0.0000 0.5000
K4 0.5000 0.5000 0.0000
Cd1 0.0000 0.0000 0.5000
Cd2 0.0000 0.5000 0.0000
Cd3 0.5000 0.0000 0.0000
Cd4 0.5000 0.5000 0.5000
Se1 0.2500 0.2500 0.7500
Se2 0.2500 0.7500 0.2500
Se3 0.7500 0.2500 0.2500
Se4 0.7500 0.7500 0.7500

=====

Of the structures shown above, arrangement A is the most stable.